# 1
This record from the Alexandria database describes a relaxed CsGePb2 crystal. The functional is PBE-GGA.

Geometry as POSCAR:
```
CsGePb2
1.0
3.992 0.000 0.000
0.000 3.992 0.000
0.000 0.000 8.610
Cs Pb Ge
1 2 1
direct
0.500 0.500 0.500 Cs
0.000 0.000 0.174 Pb
0.000 0.000 0.826 Pb
0.500 0.500 0.000 Ge
```

Computed properties:
formation energy from the elements	0.00	eV per atom
ΔE to the lowest computed polymorph	0.000	eV per atom

=====

# 2
This record from the Alexandria database describes a relaxed Cs3SrMn2I9 crystal. The functional is PBE-GGA.

Geometry as POSCAR:
```
Cs3SrMn2I9
1.0
-2.595 -6.640 -4.695
-0.879 -0.172 8.488
-9.562 4.374 -0.902
I Cs Mn Sr
9 3 2 1
direct
0.500 0.000 0.000 I
0.825 0.175 0.683 I
0.000 0.500 0.000 I
0.350 0.175 0.683 I
0.175 0.825 0.317 I
0.500 0.500 0.000 I
0.825 0.650 0.683 I
0.650 0.825 0.317 I
0.175 0.350 0.317 I
0.667 0.333 0.320 Cs
0.000 0.000 0.000 Cs
0.333 0.667 0.680 Cs
0.333 0.667 0.156 Mn
0.667 0.333 0.844 Mn
0.000 0.000 0.500 Sr
```

Computed properties:
E_form (uncorrected)	-1.11	eV per atom

=====

# 3
This record from the Alexandria database describes a relaxed Nb6V5Ru crystal. The functional is PBE-GGA.

Geometry as POSCAR:
```
Nb6V5Ru
1.0
4.349 0.018 -1.269
-0.872 5.582 -2.907
-0.116 0.372 7.692
Nb V Ru
6 5 1
direct
0.167 0.916 0.334 Nb
0.167 0.418 0.334 Nb
0.500 0.251 0.000 Nb
0.833 0.084 0.666 Nb
0.500 0.749 0.000 Nb
0.833 0.582 0.666 Nb
0.000 0.500 0.000 V
0.331 0.831 0.663 V
0.665 0.665 0.330 V
0.335 0.335 0.670 V
0.669 0.169 0.337 V
0.000 0.000 0.000 Ru
```

Computed properties:
formation energy from the elements	-0.06	eV per atom

=====

# 4
This record from the Alexandria database describes a relaxed MgBeHg2 crystal. The functional is PBE-GGA.

Geometry as POSCAR:
```
MgBeHg2
1.0
-3.542 -1.445 -3.650
-4.700 -1.210 2.098
3.275 4.122 0.491
Be Hg Mg
1 2 1
direct
0.750 0.250 0.500 Be
0.000 0.000 0.000 Hg
0.250 0.750 0.500 Hg
0.500 0.500 0.000 Mg
```

Computed properties:
formation energy from the elements	0.27	eV per atom
ΔE to the lowest computed polymorph	0.116	eV per atom

=====

# 5
This record from the Alexandria database describes a relaxed TiBeV2I crystal. The functional is PBE-GGA.

Geometry as POSCAR:
```
TiBeV2I
1.0
-2.834 3.840 -0.945
-0.920 -1.666 -4.011
-3.824 -2.365 1.859
Ti Be I V
1 1 1 2
direct
0.500 0.500 0.500 Ti
0.000 0.500 0.000 Be
0.000 0.000 0.000 I
0.000 0.000 0.500 V
0.500 0.000 0.000 V
```

Computed properties:
E_form (uncorrected)	1.64	eV per atom

=====

# 6
This record from the Alexandria database describes a relaxed FeRuW2 crystal. The functional is PBE-GGA.

Geometry as POSCAR:
```
FeRuW2
1.0
-3.644 -0.117 2.039
-0.048 -2.714 -0.241
2.490 -1.773 4.351
Fe W Ru
1 2 1
direct
0.500 0.250 0.250 Fe
0.000 0.479 0.495 W
0.000 0.021 0.005 W
0.500 0.750 0.750 Ru
```

Computed properties:
formation energy from the elements	0.17	eV per atom
ΔE to the lowest computed polymorph	0.057	eV per atom

=====

# 7
This record from the Alexandria database describes a relaxed LiLaSbI2 crystal. The functional is PBE-GGA.

Geometry as POSCAR:
```
LiLaSbI2
1.0
-2.138 5.893 -0.587
-1.290 0.145 6.161
5.697 2.181 1.141
Li I Sb La
1 2 1 1
direct
0.500 0.500 0.500 Li
0.500 0.000 0.000 I
0.000 0.500 0.000 I
0.000 0.000 0.500 Sb
0.000 0.000 0.000 La
```

Computed properties:
E_form (uncorrected)	-0.57	eV per atom
ΔE to the lowest computed polymorph	0.038	eV per atom

=====

# 8
This record from the Alexandria database describes a relaxed TbDySiIr crystal. The functional is PBE-GGA.

Geometry as POSCAR:
```
TbDySiIr
1.0
-0.033 -3.442 2.370
2.613 -1.731 -2.478
4.011 3.653 1.677
Si Tb Dy Ir
1 1 1 1
direct
0.568 0.500 0.136 Si
0.144 0.000 0.289 Tb
0.861 0.500 0.723 Dy
0.426 0.000 0.852 Ir
```

Computed properties:
E_form (uncorrected)	-0.86	eV per atom

=====

# 9
This record from the Alexandria database describes a relaxed SbH5Cl6O2 crystal. The functional is PBE-GGA.

Geometry as POSCAR:
```
SbH5Cl6O2
1.0
-2.185 4.783 -4.933
-4.666 -2.368 -4.961
-12.793 4.425 3.345
H Cl O Sb
10 12 4 2
direct
0.668 0.426 0.606 H
0.806 0.347 0.839 H
0.657 0.343 0.750 H
0.653 0.194 0.661 H
0.194 0.653 0.161 H
0.332 0.574 0.394 H
0.343 0.657 0.250 H
0.426 0.668 0.106 H
0.574 0.332 0.894 H
0.347 0.806 0.339 H
0.772 0.129 0.401 Cl
0.904 0.637 0.155 Cl
0.363 0.096 0.345 Cl
0.351 0.268 0.036 Cl
0.268 0.351 0.536 Cl
0.732 0.649 0.464 Cl
0.649 0.732 0.964 Cl
0.637 0.904 0.655 Cl
0.096 0.363 0.845 Cl
0.228 0.871 0.599 Cl
0.871 0.228 0.099 Cl
0.129 0.772 0.901 Cl
0.667 0.373 0.828 O
0.333 0.627 0.172 O
0.627 0.333 0.672 O
0.373 0.667 0.328 O
0.500 0.000 0.500 Sb
0.000 0.500 0.000 Sb
```

Computed properties:
raw total energy	-3.84	eV/atom

=====

# 10
This record from the Alexandria database describes a relaxed TbNd3Ho2Se6 crystal. The functional is PBE-GGA.

Geometry as POSCAR:
```
TbNd3Ho2Se6
1.0
7.135 -0.018 -0.004
-3.582 6.171 -0.004
-1.189 -2.059 6.899
Se Ho Nd Tb
6 2 3 1
direct
0.586 0.922 0.765 Se
0.922 0.586 0.765 Se
0.258 0.258 0.766 Se
0.078 0.414 0.235 Se
0.414 0.078 0.235 Se
0.742 0.742 0.234 Se
0.334 0.666 0.000 Ho
0.666 0.334 0.000 Ho
0.835 0.165 0.500 Nd
0.500 0.500 0.500 Nd
0.165 0.835 0.500 Nd
0.000 0.000 0.000 Tb
```

Computed properties:
E_form (uncorrected)	-1.80	eV per atom

=====

# 11
This record from the Alexandria database describes a relaxed Mg2RuAu crystal. The functional is PBE-GGA.

Geometry as POSCAR:
```
Mg2RuAu
1.0
3.541 0.000 0.000
0.000 4.294 0.000
0.000 0.000 4.294
Au Ru Mg
1 1 2
direct
0.500 0.000 0.500 Au
0.500 0.500 0.000 Ru
0.000 0.000 0.000 Mg
0.000 0.500 0.500 Mg
```

Computed properties:
formation energy from the elements	-0.28	eV per atom

=====

# 12
This record from the Alexandria database describes a relaxed TbCe2Dy crystal. The functional is PBE-GGA.

Geometry as POSCAR:
```
TbCe2Dy
1.0
-2.994 -4.022 -0.572
1.980 -2.044 4.006
-3.425 2.152 2.791
Ce Dy Tb
2 1 1
direct
0.000 0.500 0.000 Ce
0.000 0.000 0.500 Ce
0.500 0.000 0.000 Dy
0.500 0.500 0.500 Tb
```

Computed properties:
formation energy from the elements	0.11	eV per atom
ΔE to the lowest computed polymorph	0.017	eV per atom

=====

# 13
This record from the Alexandria database describes a relaxed NdPuPd crystal. The functional is PBE-GGA.

Geometry as POSCAR:
```
NdPuPd
1.0
-3.593 -0.381 -0.398
0.495 -1.077 -3.436
1.945 -4.906 3.741
Pd Nd Pu
1 1 1
direct
0.665 0.665 0.330 Pd
0.310 0.310 0.620 Nd
0.025 0.025 0.050 Pu
```

Computed properties:
formation energy from the elements	-0.28	eV per atom
ΔE to the lowest computed polymorph	0.000	eV per atom

=====

# 14
This record from the Alexandria database describes a relaxed CrAgS2Cl crystal. The functional is PBE-GGA.

Geometry as POSCAR:
```
CrAgS2Cl
1.0
4.873 0.000 0.000
0.000 4.873 0.000
0.000 0.000 4.848
Cl S Ag Cr
1 2 1 1
direct
0.000 0.000 0.500 Cl
0.500 0.000 0.000 S
0.000 0.500 0.000 S
0.000 0.000 0.000 Ag
0.500 0.500 0.500 Cr
```

Computed properties:
E_form (uncorrected)	0.61	eV per atom
ΔE to the lowest computed polymorph	0.577	eV per atom

=====

# 15
This record from the Alexandria database describes a relaxed PrEuNi crystal. The functional is PBE-GGA.

Geometry as POSCAR:
```
PrEuNi
1.0
-0.367 1.297 -3.841
-3.108 -1.905 1.811
-2.278 5.780 2.170
Ni Pr Eu
1 1 1
direct
0.667 0.333 0.345 Ni
0.333 0.667 0.567 Pr
0.000 0.000 0.089 Eu
```

Computed properties:
formation energy from the elements	-0.08	eV per atom
ΔE to the lowest computed polymorph	0.023	eV per atom

=====

# 16
This record from the Alexandria database describes a relaxed MnSiSb2 crystal. The functional is PBE-GGA.

Geometry as POSCAR:
```
MnSiSb2
1.0
-6.629 -3.092 6.429
-8.192 -3.715 3.732
-6.100 -5.816 4.879
Sb Si Mn
2 1 1
direct
0.230 0.230 0.230 Sb
0.026 0.026 0.026 Sb
0.483 0.483 0.483 Si
0.761 0.761 0.761 Mn
```

Computed properties:
E_form (uncorrected)	0.27	eV per atom

=====

# 17
This record from the Alexandria database describes a relaxed Ac2Si3AgPd12 crystal. The functional is PBE-GGA.

Geometry as POSCAR:
```
Ac2Si3AgPd12
1.0
-0.021 2.916 -6.370
-0.032 -5.938 -3.717
-6.907 -0.329 -1.127
Pd Ac Ag Si
12 2 1 3
direct
0.828 0.828 0.331 Pd
0.915 0.354 0.354 Pd
0.085 0.646 0.646 Pd
0.828 0.331 0.828 Pd
0.646 0.085 0.646 Pd
0.354 0.915 0.354 Pd
0.669 0.172 0.172 Pd
0.646 0.646 0.085 Pd
0.331 0.828 0.828 Pd
0.172 0.172 0.669 Pd
0.172 0.669 0.172 Pd
0.354 0.354 0.915 Pd
0.372 0.372 0.372 Ac
0.628 0.628 0.628 Ac
0.000 0.000 0.000 Ag
0.000 0.000 0.500 Si
0.500 0.000 0.000 Si
0.000 0.500 0.000 Si
```

Computed properties:
E_form (uncorrected)	-0.36	eV per atom

=====

# 18
This record from the Alexandria database describes a relaxed Cs2PmYS4 crystal. The functional is PBE-GGA.

Geometry as POSCAR:
```
Cs2PmYS4
1.0
-1.111 3.991 0.444
-6.859 -1.754 -1.392
1.000 -0.650 8.346
S Cs Y Pm
4 2 1 1
direct
0.500 0.234 0.185 S
0.000 0.278 0.817 S
0.500 0.766 0.815 S
0.000 0.722 0.183 S
0.000 0.500 0.500 Cs
0.500 0.000 0.500 Cs
0.500 0.500 0.000 Y
0.000 0.000 0.000 Pm
```

Computed properties:
E_form (uncorrected)	-1.83	eV per atom

=====

# 19
This record from the Alexandria database describes a relaxed Pm6Sm5Sc crystal. The functional is PBE-GGA.

Geometry as POSCAR:
```
Pm6Sm5Sc
1.0
4.910 0.015 -1.431
-1.396 8.958 -4.660
0.110 -0.829 9.501
Sm Pm Sc
5 6 1
direct
0.665 0.165 0.329 Sm
0.335 0.835 0.671 Sm
0.666 0.666 0.333 Sm
0.000 0.500 0.000 Sm
0.334 0.334 0.667 Sm
0.835 0.588 0.670 Pm
0.165 0.918 0.330 Pm
0.835 0.082 0.670 Pm
0.165 0.412 0.330 Pm
0.500 0.245 0.000 Pm
0.500 0.755 0.000 Pm
0.000 0.000 0.000 Sc
```

Computed properties:
formation energy from the elements	0.03	eV per atom

=====

# 20
This record from the Alexandria database describes a relaxed BaTe2P crystal. The functional is PBE-GGA.

Geometry as POSCAR:
```
BaTe2P
1.0
4.830 0.000 0.000
0.000 4.830 0.000
0.000 0.000 5.046
Te Ba P
2 1 1
direct
0.000 0.500 0.000 Te
0.500 0.000 0.000 Te
0.500 0.500 0.500 Ba
0.000 0.000 0.500 P
```

Computed properties:
E_form (uncorrected)	-0.35	eV per atom